(1)
First-principles (GGA-PBEsol) data for La2BeTe after structural relaxation, as listed in the Alexandria database.

```
La2BeTe
1.0
-2.8028 2.8028 3.3339
2.8028 -2.8028 3.3339
2.8028 2.8028 -3.3339
La Be Te
2 1 1
Cartesian
2.8028 0.0000 1.6670
0.0000 2.8028 1.6670
0.0000 0.0000 0.0000
0.0000 0.0000 3.3339
```

Properties
Raw formation energy   -0.412 eV/atom
Magnetization   0.001 μB per formula unit
Symmetry   I4/mmm

---

(2)
First-principles (GGA-PBEsol) data for LaBeTe2 after structural relaxation, as listed in the Alexandria database.

```
LaBeTe2
1.0
5.8665 -2.0774 0.0000
5.8665 2.0774 0.0000
-0.1339 0.0000 4.4056
La Be Te
1 1 2
Cartesian
0.0000 0.0000 0.0000
9.0578 0.0000 1.6109
3.4149 0.0000 0.1209
6.7452 0.0000 2.2345
```

Properties
Raw formation energy   -0.796 eV/atom
Magnetization   0.000 μB per formula unit
Symmetry   Cm

---

(3)
First-principles (GGA-PBEsol) data for La2BeTe after structural relaxation, as listed in the Alexandria database.

```
La2BeTe
1.0
3.5657 0.0000 0.0000
0.0000 3.5657 0.0000
0.0000 0.0000 8.4802
La Be Te
2 1 1
Cartesian
0.0000 0.0000 0.0000
1.7828 1.7828 3.2052
0.0000 0.0000 5.2525
1.7828 1.7828 6.3420
```

Properties
Raw formation energy   -0.171 eV/atom
Magnetization   0.000 μB per formula unit
Symmetry   P4mm

---

(4)
First-principles (GGA-PBEsol) data for LaBeTl after structural relaxation, as listed in the Alexandria database.

```
LaBeTl
1.0
4.2970 0.0000 0.0000
-2.1485 3.7213 0.0000
0.0000 0.0000 4.4790
La Be Tl
1 1 1
Cartesian
0.0000 0.0000 0.0000
2.1485 1.2404 2.2395
0.0000 2.4809 2.2395
```

Properties
Magnetization   0.303 μB per formula unit
Symmetry   P-6m2
Calculated formation energy   -0.111 eV per atom

---

(5)
First-principles (GGA-PBEsol) data for La3BeTl after structural relaxation, as listed in the Alexandria database.

```
La3BeTl
1.0
5.9222 0.0000 0.0000
0.0000 5.9222 0.0000
0.0000 0.0000 5.9222
La Be Tl
3 1 1
Cartesian
0.0000 0.0000 2.9611
0.0000 2.9611 0.0000
2.9611 0.0000 0.0000
2.9611 2.9611 2.9611
0.0000 0.0000 0.0000
```

Properties
Magnetization   1.426 μB per formula unit
Symmetry   Pm-3m
Calculated formation energy   0.869 eV per atom

---

(6)
First-principles (GGA-PBEsol) data for LaBe2W after structural relaxation, as listed in the Alexandria database.

```
LaBe2W
1.0
-1.3655 2.4699 4.6570
1.3655 -2.4699 4.6570
1.3655 2.4699 -4.6570
La Be W
1 2 1
Cartesian
0.0000 0.0000 0.0000
0.0000 0.0000 4.8419
0.0000 2.4699 2.0202
1.3655 0.0000 2.6839
```

Properties
Magnetization   0.000 μB per formula unit
Symmetry   Imm2
Calculated formation energy   0.677 eV per atom

---

(7)
First-principles (GGA-PBEsol) data for LaBeW after structural relaxation, as listed in the Alexandria database.

```
LaBeW
1.0
2.9220 0.0000 0.0000
-1.4610 2.5305 0.0000
0.0000 0.0000 7.2737
La Be W
1 1 1
Cartesian
0.0000 0.0000 0.0000
1.4610 0.8435 2.6087
0.0000 1.6870 4.4503
```

Properties
Magnetization   0.000 μB per formula unit
Symmetry   P3m1
Calculated formation energy   0.822 eV per atom

---

(8)
First-principles (GGA-PBEsol) data for LaBe2W after structural relaxation, as listed in the Alexandria database.

```
LaBe2W
1.0
2.7981 -3.7756 0.0000
2.7981 3.7756 0.0000
0.0000 0.0000 2.9041
La Be W
1 2 1
Cartesian
0.0000 0.0000 0.0000
1.3990 1.8878 1.4521
1.3990 -1.8878 1.4521
2.7981 0.0000 0.0000
```

Properties
Magnetization   0.000 μB per formula unit
Symmetry   Cmmm
Calculated formation energy   0.641 eV per atom

---

(9)
First-principles (GGA-PBEsol) data for LaBe2W after structural relaxation, as listed in the Alexandria database.

```
LaBe2W
1.0
-2.1103 2.1103 8.3871
2.1103 -2.1103 8.3871
2.1103 2.1103 -8.3871
La Be W
2 4 2
Cartesian
2.1103 1.0551 2.0968
0.0000 1.0551 6.2903
0.0000 0.0000 0.0000
1.0551 1.0551 -4.1935
1.0551 -1.0551 4.1935
0.0000 2.1103 0.0000
2.1103 -1.0551 6.2903
0.0000 3.1654 2.0968
```

Properties
Magnetization   0.000 μB per formula unit
Symmetry   I4_1/amd
Calculated formation energy   0.742 eV per atom

---

(10)
First-principles (GGA-PBEsol) data for La3YBe after structural relaxation, as listed in the Alexandria database.

```
La3YBe
1.0
5.6604 0.0000 0.0000
0.0000 5.6604 0.0000
0.0000 0.0000 5.6604
La Y Be
3 1 1
Cartesian
0.0000 0.0000 2.8302
0.0000 2.8302 0.0000
2.8302 0.0000 0.0000
0.0000 0.0000 0.0000
2.8302 2.8302 2.8302
```

Properties
Magnetization   0.000 μB per formula unit
Symmetry   Pm-3m
Calculated formation energy   1.117 eV per atom

---

(11)
First-principles (GGA-PBEsol) data for LaBe3Zn after structural relaxation, as listed in the Alexandria database.

```
LaBe3Zn
1.0
4.9728 0.0000 0.0000
0.0000 4.9728 0.0000
0.0000 0.0000 4.9728
La Be Zn
1 3 1
Cartesian
0.0000 0.0000 0.0000
0.0000 0.0000 2.4864
0.0000 2.4864 0.0000
2.4864 0.0000 0.0000
2.4864 2.4864 2.4864
```

Properties
Magnetization   0.000 μB per formula unit
Symmetry   Pm-3m
Calculated formation energy   2.106 eV per atom

---

(12)
First-principles (GGA-PBEsol) data for La2BeZn after structural relaxation, as listed in the Alexandria database.

```
La2BeZn
1.0
1.8166 1.0488 8.9374
-1.8166 1.0488 8.9374
0.0000 -2.0976 8.9374
La Be Zn
2 1 1
Cartesian
0.0000 0.0000 6.5574
0.0000 0.0000 20.2547
0.0000 0.0000 13.4060
0.0000 0.0000 0.0000
```

Properties
Magnetization   0.001 μB per formula unit
Symmetry   R-3m
Calculated formation energy   0.270 eV per atom

---

(13)
First-principles (GGA-PBEsol) data for LaBe4Zn after structural relaxation, as listed in the Alexandria database.

```
LaBe4Zn
1.0
0.0000 3.4605 3.4605
3.4605 0.0000 3.4605
3.4605 3.4605 0.0000
La Be Zn
1 4 1
Cartesian
0.0000 0.0000 0.0000
2.5899 2.5899 2.5899
4.3310 4.3310 2.5899
4.3310 2.5899 4.3310
2.5899 4.3310 4.3310
5.1907 5.1907 5.1907
```

Properties
Magnetization   0.000 μB per formula unit
Symmetry   F-43m
Calculated formation energy   0.318 eV per atom

---

(14)
First-principles (GGA-PBEsol) data for La2BeZn after structural relaxation, as listed in the Alexandria database.

```
La2BeZn
1.0
3.5971 0.0000 0.0000
0.0000 4.7768 0.0000
0.0000 0.0000 5.2750
La Be Zn
2 1 1
Cartesian
0.0000 0.0000 0.0000
0.0000 2.3884 2.0379
1.7986 0.0000 2.8176
1.7986 2.3884 4.4803
```

Properties
Magnetization   0.000 μB per formula unit
Symmetry   Pmm2
Calculated formation energy   -0.027 eV per atom

---

(15)
First-principles (GGA-PBEsol) data for LaZr4Be after structural relaxation, as listed in the Alexandria database.

```
LaZr4Be
1.0
0.0000 4.1113 4.1113
4.1113 0.0000 4.1113
4.1113 4.1113 0.0000
La Zr Be
1 4 1
Cartesian
0.0000 0.0000 0.0000
3.0732 3.0732 3.0732
5.1493 5.1493 3.0732
5.1493 3.0732 5.1493
3.0732 5.1493 5.1493
6.1669 6.1669 6.1669
```

Properties
Magnetization   0.001 μB per formula unit
Symmetry   F-43m
Calculated formation energy   0.569 eV per atom

---

(16)
First-principles (GGA-PBEsol) data for La2ZrBe after structural relaxation, as listed in the Alexandria database.

```
La2ZrBe
1.0
1.7054 0.9846 9.9871
-1.7054 0.9846 9.9871
0.0000 -1.9692 9.9871
La Zr Be
2 1 1
Cartesian
0.0000 0.0000 7.2281
0.0000 0.0000 22.7330
0.0000 0.0000 0.0000
0.0000 0.0000 14.9806
```

Properties
Magnetization   0.000 μB per formula unit
Symmetry   R-3m
Calculated formation energy   0.426 eV per atom

---

(17)
First-principles (GGA-PBEsol) data for LaZr2Be after structural relaxation, as listed in the Alexandria database.

```
LaZr2Be
1.0
-2.1803 2.1803 4.4037
2.1803 -2.1803 4.4037
2.1803 2.1803 -4.4037
La Zr Be
1 2 1
Cartesian
0.0000 0.0000 0.0000
0.0000 0.0000 4.4037
0.0000 2.1803 2.2018
2.1803 0.0000 2.2018
```

Properties
Magnetization   0.000 μB per formula unit
Symmetry   I-4m2
Calculated formation energy   0.257 eV per atom

---

(18)
First-principles (GGA-PBEsol) data for LaZrBe after structural relaxation, as listed in the Alexandria database.

```
LaZrBe
1.0
-1.5867 1.5867 6.3409
1.5867 -1.5867 6.3409
1.5867 1.5867 -6.3409
La Zr Be
1 1 1
Cartesian
0.0000 0.0000 0.0000
0.0000 0.0000 9.0684
0.0000 0.0000 4.2077
```

Properties
Magnetization   0.000 μB per formula unit
Symmetry   I4mm
Calculated formation energy   0.179 eV per atom

---

(19)
First-principles (GGA-PBEsol) data for La2ZrBe after structural relaxation, as listed in the Alexandria database.

```
La2ZrBe
1.0
4.7522 0.0000 0.0000
0.0000 1.6804 6.2820
0.0000 -1.6804 6.2820
La Zr Be
2 1 1
Cartesian
0.0000 0.0000 0.0000
2.3761 0.0000 3.8988
2.3761 0.0000 7.5077
0.0000 0.0000 8.9048
```

Properties
Magnetization   0.000 μB per formula unit
Symmetry   Amm2
Calculated formation energy   0.253 eV per atom

---

(20)
First-principles (GGA-PBEsol) data for LaZr2Be after structural relaxation, as listed in the Alexandria database.

```
LaZr2Be
1.0
5.0268 0.0000 0.0000
0.0000 5.0268 0.0000
0.0000 0.0000 3.2342
La Zr Be
1 2 1
Cartesian
0.0000 0.0000 0.0000
0.0000 2.5134 1.6171
2.5134 0.0000 1.6171
2.5134 2.5134 0.0000
```

Properties
Magnetization   0.000 μB per formula unit
Symmetry   P4/mmm
Calculated formation energy   0.383 eV per atom

---

Asked for final energy across the records above, the calculation gives -4.97 -4.90 -4.73 -4.10 -3.66 -6.11 -6.90 -6.15 -6.05 -4.25 -1.68 -3.80 -3.50 -4.10 -7.05 -5.52 -6.62 -5.97 -5.69 -6.50 eV/atom in order.